[1]
The following is a DFT calculation (SCAN) of a PBEsol-optimized structure of Ca2ScTcOs.

**Symmetry**: No. 123
**Formation enthalpy at 0 K**: 0.8773 eV/atom

a = 4.8605 Å, b = 5.3409 Å, c = 5.3409 Å
α = 90.00°, β = 90.00°, γ = 90.00°
Positions (direct):
Sc: 0.5000 0.0000 0.0000
Ca: 0.0000 0.0000 0.5000
Ca: 0.0000 0.5000 0.0000
Os: 0.0000 0.0000 0.0000
Tc: 0.5000 0.5000 0.5000

[2]
The following is a DFT calculation (SCAN) of a PBEsol-optimized structure of Ca2OsSe.

**Symmetry**: No. 139
**E_form (uncorrected)**: -0.1329 eV per atom

a = 4.5633 Å, b = 5.0427 Å, c = 4.5633 Å
α = 63.10°, β = 90.00°, γ = 116.90°
Positions (direct):
Ca: 0.7500 0.5000 0.7500
Ca: 0.2500 0.5000 0.2500
Os: 0.5000 0.0000 0.5000
Se: 0.0000 0.0000 0.0000

[3]
The following is a DFT calculation (SCAN) of a PBEsol-optimized structure of Ca2OsSe.

**Symmetry**: No. 12
**E_form (uncorrected)**: -0.2176 eV per atom

a = 3.4829 Å, b = 3.5700 Å, c = 8.3495 Å
α = 101.62°, β = 90.00°, γ = 119.20°
Positions (direct):
Ca: 0.7531 0.5061 0.7588
Ca: 0.2469 0.4939 0.2412
Os: 0.0000 0.0000 0.5000
Se: 0.5000 0.0000 0.0000

[4]
The following is a DFT calculation (SCAN) of a PBEsol-optimized structure of Ca2OsSe.

**Symmetry**: No. 119
**E_form (uncorrected)**: -0.0437 eV per atom

a = 4.1320 Å, b = 4.1320 Å, c = 5.7844 Å
α = 110.93°, β = 110.93°, γ = 90.00°
Positions (direct):
Ca: 0.0000 0.0000 0.0000
Ca: 0.7500 0.2500 0.5000
Os: 0.5000 0.5000 0.0000
Se: 0.2500 0.7500 0.5000

Number 1: calculated density 4.951 Mg/m³. Number 2: calculated density 7.189 Mg/m³. Number 3: calculated density 6.578 Mg/m³. Number 4: calculated density 6.806 Mg/m³.